No. 1
The following is a PBE calculation of crystalline ZnFeCuAs at its relaxed geometry, from OQMD via LeMat-Bulk.

Energy above the most stable polymorph in this dataset (meV per atom): 81.7
E_tot (eV per cell): -16.87
Symmetry: No. 216
Calculated volume (Å³/atom): 13.13

The structure in POSCAR format:
```
ZnFeCuAs
1.0
0.0000 2.9721 2.9721
2.9721 0.0000 2.9721
2.9721 2.9721 0.0000
As Cu Fe Zn
1 1 1 1
direct
0.2500 0.2500 0.2500
0.7500 0.7500 0.7500
0.0000 0.0000 0.0000
0.5000 0.5000 0.5000
```

No. 2
The following is a PBE calculation of crystalline ZnFeCuAs at its relaxed geometry, from OQMD via LeMat-Bulk.

Energy above the most stable polymorph in this dataset (meV per atom): 0.0
E_tot (eV per cell): -17.19
Symmetry: No. 216
Calculated volume (Å³/atom): 13.25

The structure in POSCAR format:
```
ZnFeCuAs
1.0
-3.4854 -1.0647 2.1193
-1.1803 2.2345 3.3745
-3.4177 2.4608 -0.1914
As Cu Fe Zn
1 1 1 1
direct
0.0000 0.0000 0.0000
0.7500 0.7500 0.7500
0.2500 0.2500 0.2500
0.5000 0.5000 0.5000
```

Repeat the second record exactly.
The following is a PBE calculation of crystalline ZnFeCuAs at its relaxed geometry, from OQMD via LeMat-Bulk.

Energy above the most stable polymorph in this dataset (meV per atom): 0.0
E_tot (eV per cell): -17.19
Symmetry: No. 216
Calculated volume (Å³/atom): 13.25

The structure in POSCAR format:
```
ZnFeCuAs
1.0
-3.4854 -1.0647 2.1193
-1.1803 2.2345 3.3745
-3.4177 2.4608 -0.1914
As Cu Fe Zn
1 1 1 1
direct
0.0000 0.0000 0.0000
0.7500 0.7500 0.7500
0.2500 0.2500 0.2500
0.5000 0.5000 0.5000
```

Q: The highest energy above the most stable polymorph in this dataset belongs to which entry?
A: number 1

Q: What is the formula in the first record?
A: ZnFeCuAs

Q: Which of these has the lowest E_tot?
A: number 2